Computed, not measured: crystalline Ac2PmNd5Tm at its relaxed geometry at the PBE level of DFT.

```
data_Ac2PmNd5Tm
_chemical_formula_sum 'Ac4 Pm2 Nd10 Tm2'
_cell_length_a 5.844
_cell_length_b 10.801
_cell_length_c 11.039
_cell_angle_alpha 90.00
_cell_angle_beta 90.00
_cell_angle_gamma 105.70
_space_group_name_H-M_alt 'P 1'
_space_group_IT_number 1
_space_group_name_Hall 'P 1'
loop_
_atom_site_label
_atom_site_type_symbol
_atom_site_fract_x
_atom_site_fract_y
_atom_site_fract_z
Ac1 Ac 0.882 0.763 0.820
Ac2 Ac 0.111 0.223 0.734
Ac3 Ac 0.118 0.237 0.320
Ac4 Ac 0.889 0.777 0.234
Pm1 Pm 0.794 0.587 0.507
Pm2 Pm 0.206 0.413 0.007
Nd1 Nd 0.394 0.789 0.024
Nd2 Nd 0.717 0.434 0.806
Nd3 Nd 0.481 0.962 0.744
Nd4 Nd 0.296 0.591 0.699
Nd5 Nd 0.981 0.961 0.524
Nd6 Nd 0.606 0.211 0.524
Nd7 Nd 0.283 0.566 0.306
Nd8 Nd 0.519 0.038 0.244
Nd9 Nd 0.704 0.409 0.199
Nd10 Nd 0.019 0.039 0.024
Tm1 Tm 0.592 0.183 0.967
Tm2 Tm 0.408 0.817 0.467
```

- ΔH_f (0 K): 131 meV per atom
- Space group: Cmc2_1